1.
This record from Alexandria via LeMat-Bulk describes an optimized crystal structure of CrPBr2. The functional is PBE.

Values from the calculation:
Symmetry = I-42d
Calculated total energy = -4.57 eV/atom
D(E_F) = 7.15 states/eV per cell
ρ = 4.01 Mg/m³
Distance to the lowest polymorph of the same formula = 399.8 meV/atom

Lattice parameters (Å, degrees): 9.4464 9.4464 7.0492 47.93 47.93 90.00
Closest atoms and distances in Å follow each position.
Atoms (fractional coordinates):
P 0.2500 0.7500 0.5000  2 Cr 2.25
P 0.5000 0.5000 0.0000  2 Cr 2.25
Br 0.7804 0.1250 0.2500  2 Cr 2.59
Br 0.8750 0.0304 0.7500  2 Cr 2.59
Br 0.3750 0.2196 0.7500  2 Cr 2.59
Br 0.9696 0.6250 0.2500  2 Cr 2.59
Cr 0.0000 0.0000 0.0000  2 P 2.25
Cr 0.7500 0.2500 0.5000  2 P 2.25

2.
This record from Alexandria via LeMat-Bulk describes an optimized crystal structure of TaTl2SnSe4. The functional is PBE.

Values from the calculation:
Symmetry = I-4
Calculated total energy = -4.75 eV/atom
D(E_F) = 2.24 states/eV per cell
ρ = 6.37 Mg/m³

Lattice parameters (Å, degrees): 7.0351 7.0351 7.0351 113.40 107.55 107.55
Closest atoms and distances in Å follow each position.
Atoms (fractional coordinates):
Ta 0.0000 0.5000 0.5000  4 Se 2.42
Tl 0.0000 0.0000 0.0000  4 Se 3.22
Tl 0.5000 0.7500 0.2500  4 Se 3.30
Se 0.0285 0.1696 0.5110  1 Ta 2.42
Se 0.3414 0.8589 0.8304  1 Ta 2.42
Se 0.6586 0.4890 0.5175  1 Ta 2.42
Se 0.9715 0.4825 0.1411  1 Ta 2.42
Sn 0.5000 0.2500 0.7500  4 Se 2.98

3.
This record from Alexandria via LeMat-Bulk describes an optimized crystal structure of RbZn3I. The functional is PBE.

Values from the calculation:
Symmetry = Pm-3m
Calculated total energy = -0.91 eV/atom
D(E_F) = 0.00 states/eV per cell
ρ = 2.24 Mg/m³
Distance to the lowest polymorph of the same formula = 0.0 meV/atom

Lattice parameters (Å, degrees): 6.7205 6.7205 6.7205 90.00 90.00 90.00
Closest atoms and distances in Å follow each position.
Atoms (fractional coordinates):
Zn 0.5000 0.0000 0.0000  2 I 3.36
Zn 0.0000 0.0000 0.5000  2 I 3.36
Zn 0.0000 0.5000 0.0000  2 I 3.36
I 0.0000 0.0000 0.0000  6 Zn 3.36
Rb 0.5000 0.5000 0.5000  12 Zn 4.75

4.
This record from Alexandria via LeMat-Bulk describes an optimized crystal structure of CaSiAs. The functional is PBE.

Values from the calculation:
Symmetry = F-43m
Calculated total energy = -3.89 eV/atom
D(E_F) = 2.93 states/eV per cell
ρ = 3.11 Mg/m³

Lattice parameters (Å, degrees): 4.7617 4.7617 4.7617 60.00 60.00 60.00
Closest atoms and distances in Å follow each position.
Atoms (fractional coordinates):
As 0.5000 0.5000 0.5000  4 Ca 2.92
Ca 0.2500 0.2500 0.2500  4 As 2.92, 4 Si 2.92
Si 0.0000 0.0000 0.0000  4 Ca 2.92

5.
This record from Alexandria via LeMat-Bulk describes an optimized crystal structure of Ba3TiCo. The functional is PBE.

Values from the calculation:
Symmetry = Pm-3m
Calculated total energy = -3.31 eV/atom
D(E_F) = 10.15 states/eV per cell
ρ = 4.29 Mg/m³
Energy of formation from the pure elements = 0.8453 eV per atom
Distance to the lowest polymorph of the same formula = 0.0 meV/atom

Lattice parameters (Å, degrees): 5.8578 5.8578 5.8578 90.00 90.00 90.00
Closest atoms and distances in Å follow each position.
Atoms (fractional coordinates):
Ba 0.5000 0.0000 0.0000  2 Co 2.93
Ba 0.0000 0.0000 0.5000  2 Co 2.93
Ba 0.0000 0.5000 0.0000  2 Co 2.93
Co 0.0000 0.0000 0.0000  6 Ba 2.93
Ti 0.5000 0.5000 0.5000  12 Ba 4.14

6.
This record from Alexandria via LeMat-Bulk describes an optimized crystal structure of BaNa2Bi. The functional is PBE.

Values from the calculation:
Symmetry = I-42d
Calculated total energy = -2.42 eV/atom
D(E_F) = 5.20 states/eV per cell
ρ = 4.04 Mg/m³
Energy of formation from the pure elements = -0.3075 eV per atom

Lattice parameters (Å, degrees): 5.1282 5.1282 12.7866 78.43 78.43 90.00
Closest atoms and distances in Å follow each position.
Atoms (fractional coordinates):
Na 0.6899 0.1250 0.2500  2 Na 3.19, 2 Bi 3.46
Na 0.3750 0.3101 0.7500  2 Na 3.19, 2 Bi 3.46
Na 0.8750 0.9399 0.7500  2 Na 3.19, 2 Bi 3.46
Na 0.0601 0.6250 0.2500  2 Na 3.19, 2 Bi 3.46
Bi 0.7500 0.2500 0.5000  4 Na 3.46, 4 Ba 3.63
Bi 0.0000 0.0000 0.0000  4 Na 3.46, 4 Ba 3.63
Ba 0.2500 0.7500 0.5000  4 Bi 3.63, 4 Na 3.69
Ba 0.5000 0.5000 0.0000  4 Bi 3.63, 4 Na 3.69

7.
This record from Alexandria via LeMat-Bulk describes an optimized crystal structure of SiAgSe2. The functional is PBE.

Values from the calculation:
Symmetry = Imm2
Calculated total energy = -3.73 eV/atom
D(E_F) = 1.06 states/eV per cell
ρ = 5.87 Mg/m³

Lattice parameters (Å, degrees): 7.0302 7.0302 7.0302 151.83 149.45 42.03
Closest atoms and distances in Å follow each position.
Atoms (fractional coordinates):
Se 0.6887 0.1887 0.5000  2 Si 2.52
Se 0.9649 0.9649 0.0000  4 Si 2.75, 2 Ag 2.86
Ag 0.2985 0.7985 0.5000  6 Se 2.86-2.90
Si 0.5478 0.5478 0.0000  6 Se 2.52-2.75

8.
This record from Alexandria via LeMat-Bulk describes an optimized crystal structure of TaAsCSe2. The functional is PBE.

Values from the calculation:
Symmetry = P4/mmm
Calculated total energy = -5.43 eV/atom
D(E_F) = 3.54 states/eV per cell
ρ = 8.81 Mg/m³
Distance to the lowest polymorph of the same formula = 0.0 meV/atom

Lattice parameters (Å, degrees): 4.2869 4.2869 4.3656 90.00 90.00 90.00
Closest atoms and distances in Å follow each position.
Atoms (fractional coordinates):
Se 0.0000 0.5000 0.0000  2 C 2.14
Se 0.5000 0.0000 0.0000  2 C 2.14
C 0.0000 0.0000 0.0000  4 Se 2.14, 2 As 2.18
As 0.0000 0.0000 0.5000  2 C 2.18
Ta 0.5000 0.5000 0.5000  4 As 3.03, 8 Se 3.06

9.
This record from Alexandria via LeMat-Bulk describes an optimized crystal structure of NbMo2Pt. The functional is PBE.

Values from the calculation:
Symmetry = I-42d
Calculated total energy = -9.05 eV/atom
D(E_F) = 8.01 states/eV per cell
ρ = 11.28 Mg/m³
Energy of formation from the pure elements = 0.3943 eV per atom
Distance to the lowest polymorph of the same formula = 551.2 meV/atom

Lattice parameters (Å, degrees): 3.7830 3.7830 10.2294 79.34 79.34 90.00
Closest atoms and distances in Å follow each position.
Atoms (fractional coordinates):
Pt 0.0000 0.0000 0.0000  4 Nb 2.67, 4 Mo 2.82
Pt 0.7500 0.2500 0.5000  4 Nb 2.67, 4 Mo 2.82
Nb 0.5000 0.5000 0.0000  4 Pt 2.67, 4 Mo 2.79
Nb 0.2500 0.7500 0.5000  4 Pt 2.67, 4 Mo 2.79
Mo 0.1375 0.6250 0.2500  4 Mo 2.61-2.74, 2 Nb 2.79, 2 Pt 2.82
Mo 0.8750 0.8625 0.7500  4 Mo 2.61-2.74, 2 Nb 2.79, 2 Pt 2.82
Mo 0.3750 0.3875 0.7500  4 Mo 2.61-2.74, 2 Nb 2.79, 2 Pt 2.82
Mo 0.6125 0.1250 0.2500  4 Mo 2.61-2.74, 2 Nb 2.79, 2 Pt 2.82

10.
This record from Alexandria via LeMat-Bulk describes an optimized crystal structure of CuS2Cl. The functional is PBE.

Values from the calculation:
Symmetry = Fm-3m
Calculated total energy = -2.65 eV/atom
D(E_F) = 3.04 states/eV per cell
ρ = 4.19 Mg/m³
Distance to the lowest polymorph of the same formula = 1181.9 meV/atom

Lattice parameters (Å, degrees): 4.5060 4.5060 4.5060 60.00 60.00 60.00
Closest atoms and distances in Å follow each position.
Atoms (fractional coordinates):
Cl 0.0000 0.0000 0.0000  8 S 2.76
Cu 0.5000 0.5000 0.5000  8 S 2.76
S 0.7500 0.7500 0.7500  4 Cl 2.76, 4 Cu 2.76
S 0.2500 0.2500 0.2500  4 Cl 2.76, 4 Cu 2.76

11.
This record from Alexandria via LeMat-Bulk describes an optimized crystal structure of Pr2Al19Co6. The functional is PBE.

Values from the calculation:
Symmetry = C2/m
Calculated total energy = -5.05 eV/atom
D(E_F) = 19.21 states/eV per cell
ρ = 4.47 Mg/m³
Energy of formation from the pure elements = -0.4865 eV per atom

Lattice parameters (Å, degrees): 8.2296 10.6988 10.6988 68.93 78.44 78.44
Closest atoms and distances in Å follow each position.
Atoms (fractional coordinates):
Co 0.4051 0.4387 0.4387  8 Al 2.42-2.51
Co 0.0941 0.5613 0.5613  8 Al 2.40-2.53
Co 0.3314 0.9161 0.3143  7 Al 2.36-2.60
Co 0.6686 0.6857 0.0839  7 Al 2.36-2.60
Co 0.8120 0.3202 0.9200  8 Al 2.33-2.58
Co 0.1880 0.6798 0.0800  8 Al 2.33-2.58
Co 0.5949 0.5613 0.5613  8 Al 2.42-2.51
Co 0.1880 0.0800 0.6798  8 Al 2.33-2.58
Co 0.8120 0.9200 0.3202  8 Al 2.33-2.58
Co 0.9059 0.4387 0.4387  8 Al 2.40-2.53
Co 0.6686 0.0839 0.6857  7 Al 2.36-2.60
Co 0.3314 0.3143 0.9161  7 Al 2.36-2.60
Al 0.4483 0.5192 0.1853  3 Co 2.51-2.63, 3 Al 2.66-2.67
Al 0.0524 0.0464 0.2701  2 Co 2.47-2.48, 2 Al 2.60-2.71
Al 0.9430 0.5400 0.1886  3 Co 2.48-2.67, 3 Al 2.60-2.64
Al 0.1852 0.9139 0.9139  2 Co 2.49, 2 Al 2.78
Al 0.6384 0.2011 0.8506  3 Co 2.46-2.65, 2 Al 2.65-2.74
Al 0.8448 0.4347 0.6694  4 Co 2.40-2.53, 2 Al 2.64-2.66
Al 0.0524 0.2701 0.0464  2 Co 2.47-2.48, 2 Al 2.60-2.71
Al 0.3616 0.1494 0.7989  3 Co 2.46-2.65, 2 Al 2.65-2.74
Al 0.0000 0.8300 0.1700  2 Co 2.33
Al 0.3631 0.0795 0.0795  2 Co 2.49
Al 0.7654 0.5029 0.0016  2 Co 2.35-2.36
Al 0.0570 0.8114 0.4600  3 Co 2.48-2.67, 3 Al 2.60-2.64
Al 0.9476 0.7299 0.9536  2 Co 2.47-2.48, 2 Al 2.60-2.71
Al 0.5517 0.4808 0.8147  3 Co 2.51-2.63, 3 Al 2.66-2.67
Al 0.1552 0.5653 0.3306  4 Co 2.40-2.53, 2 Al 2.64-2.66
Al 0.2346 0.4971 0.9984  2 Co 2.35-2.36
Al 0.0570 0.4600 0.8114  3 Co 2.48-2.67, 3 Al 2.60-2.64
Al 0.6475 0.3299 0.5620  4 Co 2.42-2.53, 3 Al 2.61-2.70
Al 0.5517 0.8147 0.4808  3 Co 2.51-2.63, 3 Al 2.66-2.67
Al 0.7654 0.0016 0.5029  2 Co 2.35-2.36
Al 0.4644 0.9370 0.7022  2 Co 2.46-2.48, 2 Al 2.67-2.74
Al 0.6475 0.5620 0.3299  4 Co 2.42-2.53, 3 Al 2.61-2.70
Al 0.4483 0.1853 0.5192  3 Co 2.51-2.63, 3 Al 2.66-2.67
Al 0.3616 0.7989 0.1494  3 Co 2.46-2.65, 2 Al 2.65-2.74
Al 0.6369 0.9205 0.9205  2 Co 2.49
Al 0.1552 0.3306 0.5653  4 Co 2.40-2.53, 2 Al 2.64-2.66
Al 0.6384 0.8506 0.2011  3 Co 2.46-2.65, 2 Al 2.65-2.74
Al 0.9430 0.1886 0.5400  3 Co 2.48-2.67, 3 Al 2.60-2.64
Al 0.3525 0.4380 0.6701  4 Co 2.42-2.53, 3 Al 2.61-2.70
Al 0.5356 0.0630 0.2978  2 Co 2.46-2.48, 2 Al 2.67-2.74
Al 0.9476 0.9536 0.7299  2 Co 2.47-2.48, 2 Al 2.60-2.71
Al 0.8448 0.6694 0.4347  4 Co 2.40-2.53, 2 Al 2.64-2.66
Al 0.3525 0.6701 0.4380  4 Co 2.42-2.53, 3 Al 2.61-2.70
Al 0.2346 0.9984 0.4971  2 Co 2.35-2.36
Al 0.4644 0.7022 0.9370  2 Co 2.46-2.48, 2 Al 2.67-2.74
Al 0.8148 0.0861 0.0861  2 Co 2.49, 2 Al 2.78
Al 0.0000 0.1700 0.8300  2 Co 2.33
Al 0.5356 0.2978 0.0630  2 Co 2.46-2.48, 2 Al 2.67-2.74
Pr 0.2274 0.2793 0.2793  12 Al 3.06-3.25, 1 Co 3.36
Pr 0.7726 0.7207 0.7207  12 Al 3.06-3.25, 1 Co 3.36
Pr 0.2537 0.7218 0.7218  13 Al 3.07-3.30, 1 Co 3.40
Pr 0.7463 0.2782 0.2782  13 Al 3.07-3.30, 1 Co 3.40